GaCuSn | PBE | relaxed

Properties
The calculated volume comes out at 115.8 Å³/cell. As for the formation energy: 0.1 eV per formula unit. The total magnetization comes out at 0.00 μB/f.u. The space group is Pmm2, No. 25.

Cell: 3.5475 5.4346 6.0087 Å, 90.00 90.00 90.00°
Last column: nearest neighbours and their distance in Å.
Element x y z (fractional)
Ga1 0.0000 0.0000 0.0000  4 Cu 2.62, 2 Ga 2.72, 1 Sn 2.81
Ga2 0.0000 0.5000 0.0250  4 Cu 2.58, 2 Ga 2.72
Cu1 0.5000 0.2425 0.2328  4 Ga 2.58-2.62, 2 Cu 2.64-2.80, 3 Sn 2.73-2.85
Cu2 0.5000 0.7575 0.2328  4 Ga 2.58-2.62, 2 Cu 2.64-2.80, 3 Sn 2.73-2.85
Sn1 0.0000 0.0000 0.5328  1 Ga 2.81, 4 Cu 2.85
Sn2 0.5000 0.5000 0.6220  2 Cu 2.73, 2 Ga 3.00